#i
Here is crystalline HI2Cl at its relaxed geometry from Alexandria. Energies are from GGA-PBE.

Cell: 5.9538 5.9721 6.1946 Å, 115.75 131.23 82.15°
With the nearest neighbours (Å) after each atom.
Element x y z (fractional)
H1 0.5000 0.2500 0.7500  2 I 1.94
Cl1 0.5000 0.7500 0.2500  2 I 2.81
I1 0.1660 0.4241 0.5900  1 H 1.94
I2 0.8340 0.0758 0.9100  1 H 1.94

SG: P-1, No. 2
spin magnetization: 0.000 μB per formula unit

***

#ii
Here is crystalline HI2Cl at its relaxed geometry from Alexandria. Energies are from GGA-PBE.

Cell: 5.8185 5.8185 7.9939 Å, 68.66 68.66 90.00°
With the nearest neighbours (Å) after each atom.
Element x y z (fractional)
H1 0.2500 0.7500 0.5000  4 I 2.30
I1 0.2950 0.6250 0.2500  2 H 2.30
Cl1 0.0000 0.0000 0.0000  4 I 3.32
I2 0.8750 0.7050 0.7500  2 H 2.30
Cl2 0.7500 0.2500 0.5000  4 I 3.32
I3 0.4550 0.1250 0.2500  2 H 2.30
I4 0.3750 0.5450 0.7500  2 H 2.30
H2 0.5000 0.5000 0.0000  4 I 2.30

SG: I-42d, No. 122
spin magnetization: 0.000 μB per formula unit

***

Which structure is most stable, and how do the rest compare? From most to least stable: #i, #ii.

***

#i
Here is crystalline H2ICl at its relaxed geometry from Alexandria. Energies are from GGA-PBE.

Cell: 4.3546 4.3546 4.3546 Å, 60.00 60.00 60.00°
With the nearest neighbours (Å) after each atom.
Element x y z (fractional)
H1 0.7500 0.7500 0.7500  4 Cl 2.67, 4 I 2.67
I1 0.5000 0.5000 0.5000  8 H 2.67
Cl1 0.0000 0.0000 0.0000  8 H 2.67
H2 0.2500 0.2500 0.2500  4 I 2.67, 4 Cl 2.67

SG: Fm-3m, No. 225
spin magnetization: 0.000 μB per formula unit

***

#ii
Here is crystalline H2ICl at its relaxed geometry from Alexandria. Energies are from GGA-PBE.

Cell: 3.6731 7.6166 8.5873 Å, 89.65 90.00 103.95°
With the nearest neighbours (Å) after each atom.
Element x y z (fractional)
I1 0.1334 0.2667 0.8448  2 H 1.94
H1 0.3894 0.7789 0.2150  2 I 1.94
H2 0.7009 0.4018 0.3074  1 Cl 1.30
Cl1 0.6204 0.2409 0.3684  1 H 1.30
I2 0.8666 0.7333 0.1552  2 H 1.94
H3 0.2991 0.5982 0.6926  1 Cl 1.30
Cl2 0.3796 0.7591 0.6316  1 H 1.30
H4 0.6106 0.2211 0.7850  2 I 1.94

SG: C2/m, No. 12
spin magnetization: 0.000 μB per formula unit

***

#iii
Here is crystalline H2ICl at its relaxed geometry from Alexandria. Energies are from GGA-PBE.

Cell: 3.8999 3.8999 6.1972 Å, 71.66 71.66 60.00°
With the nearest neighbours (Å) after each atom.
Element x y z (fractional)
H1 0.9124 0.9124 0.2628  1 Cl 1.52
Cl1 0.0000 0.0000 0.0000  2 H 1.52
I1 0.5000 0.5000 0.5000  6 H 2.64
H2 0.0876 0.0876 0.7372  1 Cl 1.52

SG: R-3m, No. 166
spin magnetization: 0.000 μB per formula unit

***

#iv
Here is crystalline H2ICl at its relaxed geometry from Alexandria. Energies are from GGA-PBE.

Cell: 5.1604 5.1604 6.5674 Å, 66.87 66.87 90.00°
With the nearest neighbours (Å) after each atom.
Element x y z (fractional)
Cl1 0.5000 0.5000 0.0000  8 H 3.07-3.32
H1 0.9050 0.6250 0.2500  2 I 1.88
H2 0.8450 0.1250 0.2500  2 I 1.88
Cl2 0.2500 0.7500 0.5000  8 H 3.07-3.32
I1 0.7500 0.2500 0.5000  4 H 1.88
H3 0.8750 0.0950 0.7500  2 I 1.88
I2 0.0000 0.0000 0.0000  4 H 1.88
H4 0.3750 0.1550 0.7500  2 I 1.88

SG: I-42d, No. 122
spin magnetization: 0.000 μB per formula unit

***

Which structure is most stable, and how do the rest compare? From most to least stable: #ii, #iii, #iv, #i.

***

#i
Here is crystalline HICl2 at its relaxed geometry from Alexandria. Energies are from GGA-PBE.

Cell: 8.2417 8.2417 8.2417 Å, 27.74 27.74 27.74°
With the nearest neighbours (Å) after each atom.
Element x y z (fractional)
H1 0.0000 0.0000 0.0000  2 Cl 1.55
Cl1 0.9347 0.9347 0.9347  1 H 1.55
I1 0.5000 0.5000 0.5000  6 Cl 3.32
Cl2 0.0653 0.0653 0.0653  1 H 1.55

SG: R-3m, No. 166
spin magnetization: 1.883 μB per formula unit

***

#ii
Here is crystalline HICl2 at its relaxed geometry from Alexandria. Energies are from GGA-PBE.

Cell: 6.1223 6.1223 6.4234 Å, 61.54 61.54 90.00°
With the nearest neighbours (Å) after each atom.
Element x y z (fractional)
Cl1 0.4572 0.1250 0.2500  2 H 2.00
I1 0.0000 0.0000 0.0000  4 Cl 3.21
Cl2 0.2928 0.6250 0.2500  2 H 2.00
Cl3 0.3750 0.5428 0.7500  2 H 2.00
I2 0.7500 0.2500 0.5000  4 Cl 3.21
Cl4 0.8750 0.7072 0.7500  2 H 2.00
H1 0.5000 0.5000 0.0000  4 Cl 2.00
H2 0.2500 0.7500 0.5000  4 Cl 2.00

SG: I-42d, No. 122
spin magnetization: 1.994 μB per formula unit

***

#iii
Here is crystalline HICl2 at its relaxed geometry from Alexandria. Energies are from GGA-PBE.

Cell: 5.5359 7.9473 7.9473 Å, 64.59 42.35 42.35°
With the nearest neighbours (Å) after each atom.
Element x y z (fractional)
Cl1 0.1796 0.8394 0.8394  1 H 1.35
H1 0.7004 0.9810 0.9810  1 Cl 1.35
I1 0.6163 0.4915 0.4915  1 Cl 2.44
Cl2 0.0037 0.1881 0.1881  1 H 1.96

SG: Cm, No. 8
spin magnetization: 0.000 μB per formula unit

***

Which structure is most stable, and how do the rest compare? From most to least stable: #iii, #i, #ii.

***

#i
Here is crystalline HICl2 at its relaxed geometry from Alexandria. Energies are from GGA-PBE.

Cell: 7.8450 7.8450 7.8450 Å, 28.00 28.00 28.00°
With the nearest neighbours (Å) after each atom.
Element x y z (fractional)
I1 0.0000 0.0000 0.0000  2 Cl 2.55
Cl1 0.8871 0.8871 0.8871  3 H 2.51, 1 I 2.55
H1 0.5000 0.5000 0.5000  6 Cl 2.51
Cl2 0.1129 0.1129 0.1129  3 H 2.51, 1 I 2.55

SG: R-3m, No. 166
spin magnetization: 0.109 μB per formula unit

***

#ii
Here is crystalline HICl2 at its relaxed geometry from Alexandria. Energies are from GGA-PBE.

Cell: 5.1444 5.1444 5.1444 Å, 60.00 60.00 60.00°
With the nearest neighbours (Å) after each atom.
Element x y z (fractional)
H1 0.0000 0.0000 0.0000  8 Cl 3.15
Cl1 0.2500 0.2500 0.2500  4 H 3.15, 4 I 3.15
I1 0.5000 0.5000 0.5000  8 Cl 3.15
Cl2 0.7500 0.7500 0.7500  4 H 3.15, 4 I 3.15

SG: Fm-3m, No. 225
spin magnetization: 3.104 μB per formula unit

***

Which structure is most stable, and how do the rest compare? From most to least stable: #i, #ii.

***

#i
Here is crystalline TeHI2Cl at its relaxed geometry from Alexandria. Energies are from GGA-PBE.

Cell: 5.7087 5.7087 3.8945 Å, 90.00 90.00 90.00°
With the nearest neighbours (Å) after each atom.
Element x y z (fractional)
H1 0.0000 0.0000 0.0000  2 Te 1.95
Te1 0.0000 0.0000 0.5000  2 H 1.95
Cl1 0.5000 0.5000 0.5000  8 I 3.46
I1 0.5000 0.0000 0.0000  2 H 2.85
I2 0.0000 0.5000 0.0000  2 H 2.85

SG: P4/mmm, No. 123
spin magnetization: 0.000 μB per formula unit

***

#ii
Here is crystalline TeHI2Cl at its relaxed geometry from Alexandria. Energies are from GGA-PBE.

Cell: 5.8313 5.8313 5.3967 Å, 90.00 90.00 90.00°
With the nearest neighbours (Å) after each atom.
Element x y z (fractional)
I1 0.0000 0.5000 0.0000  2 Cl 2.92
Te1 0.0000 0.0000 0.5000  2 Cl 2.70
H1 0.5000 0.5000 0.5000  8 I 3.97, 4 Te 4.12
Cl1 0.0000 0.0000 0.0000  2 Te 2.70, 4 I 2.92
I2 0.5000 0.0000 0.0000  2 Cl 2.92

SG: P4/mmm, No. 123
spin magnetization: 0.696 μB per formula unit

***

Which structure is most stable, and how do the rest compare? From most to least stable: #i, #ii.

***

#i
Here is crystalline Te2HICl at its relaxed geometry from Alexandria. Energies are from GGA-PBE.

Cell: 5.3508 5.3508 6.8577 Å, 90.00 90.00 90.00°
With the nearest neighbours (Å) after each atom.
Element x y z (fractional)
I1 0.0000 0.0000 0.5000  2 Cl 3.43, 4 H 3.78
Te1 0.0000 0.5000 0.0000  2 Cl 2.68
Te2 0.5000 0.0000 0.0000  2 Cl 2.68
H1 0.5000 0.5000 0.5000  4 I 3.78
Cl1 0.0000 0.0000 0.0000  4 Te 2.68

SG: P4/mmm, No. 123
spin magnetization: 3.117 μB per formula unit

***

#ii
Here is crystalline Te2HICl at its relaxed geometry from Alexandria. Energies are from GGA-PBE.

Cell: 4.3391 4.3391 8.2323 Å, 90.00 90.00 90.00°
With the nearest neighbours (Å) after each atom.
Element x y z (fractional)
Te1 0.5000 0.0000 0.0000  2 H 2.17
H1 0.0000 0.0000 0.0000  4 Te 2.17
Te2 0.0000 0.5000 0.0000  2 H 2.17
Cl1 0.5000 0.5000 0.5000  4 I 3.07
I1 0.0000 0.0000 0.5000  4 Cl 3.07

SG: P4/mmm, No. 123
spin magnetization: 0.000 μB per formula unit

***

Which structure is most stable, and how do the rest compare? From most to least stable: #ii, #i.

***

#i
Here is crystalline InH3Cl at its relaxed geometry from Alexandria. Energies are from GGA-PBE.

Cell: 3.9501 3.9501 3.9501 Å, 90.00 90.00 90.00°
With the nearest neighbours (Å) after each atom.
Element x y z (fractional)
In1 0.5000 0.5000 0.5000  12 H 2.79
H1 0.5000 0.0000 0.0000  2 Cl 1.98
H2 0.0000 0.5000 0.0000  2 Cl 1.98
Cl1 0.0000 0.0000 0.0000  6 H 1.98
H3 0.0000 0.0000 0.5000  2 Cl 1.98

SG: Pm-3m, No. 221
spin magnetization: 0.000 μB per formula unit

***

#ii
Here is crystalline InH3Cl at its relaxed geometry from Alexandria. Energies are from GGA-PBE.

Cell: 3.9284 3.9284 3.9284 Å, 90.00 90.00 90.00°
With the nearest neighbours (Å) after each atom.
Element x y z (fractional)
In1 0.0000 0.0000 0.0000  6 H 1.96
H1 0.0000 0.5000 0.0000  2 In 1.96
H2 0.0000 0.0000 0.5000  2 In 1.96
Cl1 0.5000 0.5000 0.5000  12 H 2.78
H3 0.5000 0.0000 0.0000  2 In 1.96

SG: Pm-3m, No. 221
spin magnetization: 0.000 μB per formula unit

***

Which structure is most stable, and how do the rest compare? From most to least stable: #ii, #i.

***

#i
Here is crystalline InP2HCl at its relaxed geometry from Alexandria. Energies are from GGA-PBE.

Cell: 5.1798 5.1798 5.3857 Å, 90.00 90.00 90.00°
With the nearest neighbours (Å) after each atom.
Element x y z (fractional)
P1 0.5000 0.0000 0.0000  2 In 2.59
H1 0.5000 0.5000 0.5000  4 Cl 3.66, 8 P 3.74
In1 0.0000 0.0000 0.0000  4 P 2.59, 2 Cl 2.69
P2 0.0000 0.5000 0.0000  2 In 2.59
Cl1 0.0000 0.0000 0.5000  2 In 2.69

SG: P4/mmm, No. 123
spin magnetization: 3.191 μB per formula unit

***

#ii
Here is crystalline InP2HCl at its relaxed geometry from Alexandria. Energies are from GGA-PBE.

Cell: 3.8152 3.8152 6.3705 Å, 90.00 90.00 90.00°
With the nearest neighbours (Å) after each atom.
Element x y z (fractional)
Cl1 0.0000 0.0000 0.5000  4 In 2.70
P1 0.0000 0.5000 0.0000  2 H 1.91
P2 0.5000 0.0000 0.0000  2 H 1.91
H1 0.0000 0.0000 0.0000  4 P 1.91
In1 0.5000 0.5000 0.5000  4 Cl 2.70

SG: P4/mmm, No. 123
spin magnetization: 0.000 μB per formula unit

***

Which structure is most stable, and how do the rest compare? From most to least stable: #ii, #i.

***

#i
Here is crystalline H3IrCl at its relaxed geometry from Alexandria. Energies are from GGA-PBE.

Cell: 3.6177 3.6177 3.6177 Å, 90.00 90.00 90.00°
With the nearest neighbours (Å) after each atom.
Element x y z (fractional)
Ir1 0.0000 0.0000 0.0000  6 H 1.81
H1 0.0000 0.5000 0.0000  2 Ir 1.81
H2 0.5000 0.0000 0.0000  2 Ir 1.81
H3 0.0000 0.0000 0.5000  2 Ir 1.81
Cl1 0.5000 0.5000 0.5000  12 H 2.56

SG: Pm-3m, No. 221
spin magnetization: 0.993 μB per formula unit

***

#ii
Here is crystalline H3IrCl at its relaxed geometry from Alexandria. Energies are from GGA-PBE.

Cell: 3.5646 3.5646 3.5646 Å, 90.00 90.00 90.00°
With the nearest neighbours (Å) after each atom.
Element x y z (fractional)
H1 0.0000 0.0000 0.5000  2 Cl 1.78
H2 0.5000 0.0000 0.0000  2 Cl 1.78
Ir1 0.5000 0.5000 0.5000  12 H 2.52
Cl1 0.0000 0.0000 0.0000  6 H 1.78
H3 0.0000 0.5000 0.0000  2 Cl 1.78

SG: Pm-3m, No. 221
spin magnetization: 0.000 μB per formula unit

***

Which structure is most stable, and how do the rest compare? From most to least stable: #i, #ii.

***

#i
Here is crystalline HIrCl2 at its relaxed geometry from Alexandria. Energies are from GGA-PBE.

Cell: 4.3378 4.3378 4.3378 Å, 60.00 60.00 60.00°
With the nearest neighbours (Å) after each atom.
Element x y z (fractional)
H1 0.0000 0.0000 0.0000  8 Cl 2.66
Cl1 0.2500 0.2500 0.2500  4 Ir 2.66, 4 H 2.66
Cl2 0.7500 0.7500 0.7500  4 Ir 2.66, 4 H 2.66
Ir1 0.5000 0.5000 0.5000  8 Cl 2.66

SG: Fm-3m, No. 225
spin magnetization: 0.653 μB per formula unit

***

#ii
Here is crystalline HIrCl2 at its relaxed geometry from Alexandria. Energies are from GGA-PBE.

Cell: 7.2587 7.2587 7.2587 Å, 24.05 24.05 24.05°
With the nearest neighbours (Å) after each atom.
Element x y z (fractional)
Cl1 0.1064 0.1064 0.1064  3 H 2.16, 1 Ir 2.25
Ir1 0.0000 0.0000 0.0000  2 Cl 2.25
H1 0.5000 0.5000 0.5000  6 Cl 2.16
Cl2 0.8936 0.8936 0.8936  3 H 2.16, 1 Ir 2.25

SG: R-3m, No. 166
spin magnetization: 0.000 μB per formula unit

***

#iii
Here is crystalline HIrCl2 at its relaxed geometry from Alexandria. Energies are from GGA-PBE.

Cell: 5.1615 5.1615 5.9181 Å, 64.15 64.15 90.00°
With the nearest neighbours (Å) after each atom.
Element x y z (fractional)
Ir1 0.0000 0.0000 0.0000  4 Cl 2.35
Ir2 0.7500 0.2500 0.5000  4 Cl 2.35
Cl1 0.5684 0.1250 0.2500  2 H 2.00
Cl2 0.3750 0.4316 0.7500  2 H 2.00
Cl3 0.8750 0.8184 0.7500  2 H 2.00
Cl4 0.1816 0.6250 0.2500  2 H 2.00
H1 0.2500 0.7500 0.5000  4 Cl 2.00
H2 0.5000 0.5000 0.0000  4 Cl 2.00

SG: I-42d, No. 122
spin magnetization: 0.000 μB per formula unit

***

Which structure is most stable, and how do the rest compare? From most to least stable: #ii, #iii, #i.

***

#i
Here is crystalline H2IrCl at its relaxed geometry from Alexandria. Energies are from GGA-PBE.

Cell: 3.7747 3.7747 3.7747 Å, 60.00 60.00 60.00°
With the nearest neighbours (Å) after each atom.
Element x y z (fractional)
Cl1 0.0000 0.0000 0.0000  8 H 2.31
H1 0.2500 0.2500 0.2500  4 Cl 2.31, 4 Ir 2.31
H2 0.7500 0.7500 0.7500  4 Cl 2.31, 4 Ir 2.31
Ir1 0.5000 0.5000 0.5000  8 H 2.31

SG: Fm-3m, No. 225
spin magnetization: 0.000 μB per formula unit

***

#ii
Here is crystalline H2IrCl at its relaxed geometry from Alexandria. Energies are from GGA-PBE.

Cell: 5.1312 5.1312 5.0773 Å, 59.65 59.65 90.00°
With the nearest neighbours (Å) after each atom.
Element x y z (fractional)
Ir1 0.0000 0.0000 0.0000  4 H 1.69
Ir2 0.7500 0.2500 0.5000  4 H 1.69
H1 0.7497 0.1250 0.2500  2 Ir 1.69
Cl1 0.5000 0.5000 0.0000  4 H 2.48
H2 0.0003 0.6250 0.2500  2 Ir 1.69
H3 0.3750 0.2503 0.7500  2 Ir 1.69
H4 0.8750 0.9997 0.7500  2 Ir 1.69
Cl2 0.2500 0.7500 0.5000  4 H 2.48

SG: I-42d, No. 122
spin magnetization: 0.000 μB per formula unit

***

Which structure is most stable, and how do the rest compare? From most to least stable: #ii, #i.

***

#i
Here is crystalline HIr2Cl at its relaxed geometry from Alexandria. Energies are from GGA-PBE.

Cell: 4.9094 4.9094 5.6992 Å, 64.49 64.49 90.00°
With the nearest neighbours (Å) after each atom.
Element x y z (fractional)
Cl1 0.7500 0.2500 0.5000  4 Ir 2.46
H1 0.5000 0.5000 0.0000  4 Ir 1.79
Ir1 0.5075 0.1250 0.2500  2 H 1.79
Ir2 0.3750 0.4925 0.7500  2 H 1.79
Cl2 0.0000 0.0000 0.0000  4 Ir 2.46
Ir3 0.8750 0.7575 0.7500  2 H 1.79
H2 0.2500 0.7500 0.5000  4 Ir 1.79
Ir4 0.2425 0.6250 0.2500  2 H 1.79

SG: I-42d, No. 122
spin magnetization: 0.000 μB per formula unit

***

#ii
Here is crystalline HIr2Cl at its relaxed geometry from Alexandria. Energies are from GGA-PBE.

Cell: 4.1305 4.1305 4.1305 Å, 60.00 60.00 60.00°
With the nearest neighbours (Å) after each atom.
Element x y z (fractional)
H1 0.0000 0.0000 0.0000  8 Ir 2.53
Ir1 0.2500 0.2500 0.2500  4 H 2.53, 4 Cl 2.53
Cl1 0.5000 0.5000 0.5000  8 Ir 2.53
Ir2 0.7500 0.7500 0.7500  4 H 2.53, 4 Cl 2.53

SG: Fm-3m, No. 225
spin magnetization: 0.000 μB per formula unit

***

Which structure is most stable, and how do the rest compare? From most to least stable: #i, #ii.